The following is a DFT calculation (GGA-PBE) of a relaxed structure of SrSc3.

Structure (POSCAR):
```
SrSc3
1.0
4.411 -4.862 0.000
4.411 4.862 0.000
0.000 0.000 5.673
Sr Sc
2 6
direct
0.430 0.570 0.250
0.570 0.430 0.750
0.913 0.087 0.750
0.087 0.913 0.250
0.057 0.617 0.750
0.943 0.383 0.250
0.383 0.943 0.750
0.617 0.057 0.250
```

Energy of formation ... 440.8 meV per atom
Size of the total moment ... 0.42 μB per formula unit


The following is a DFT calculation (GGA-PBE) of a relaxed structure of Nd5Dy12Sc2.

Structure (POSCAR):
```
Nd5Dy12Sc2
1.0
7.231 0.000 0.000
-3.616 8.622 3.544
0.000 0.119 9.934
Nd Dy Sc
5 12 2
direct
0.186 0.372 0.811
0.320 0.640 0.204
0.000 0.000 0.500
0.680 0.360 0.796
0.814 0.628 0.189
0.986 0.973 0.214
0.091 0.685 0.861
0.594 0.685 0.861
0.085 0.676 0.505
0.591 0.676 0.505
0.503 0.006 0.686
0.497 0.994 0.314
0.915 0.324 0.495
0.409 0.324 0.495
0.909 0.315 0.139
0.406 0.315 0.139
0.014 0.027 0.786
0.698 0.000 0.000
0.302 0.000 0.000
```

Energy of formation ... 175.3 meV per atom
Size of the total moment ... 0.00 μB per formula unit


The following is a DFT calculation (GGA-PBE) of a relaxed structure of Ba2BI.

Structure (POSCAR):
```
Ba2BI
1.0
-0.339 -5.760 -0.258
-2.186 -2.966 4.447
-5.148 -2.570 -0.494
I B Ba
1 1 2
direct
0.500 0.500 0.500
0.000 0.000 0.000
0.250 0.250 0.250
0.750 0.750 0.750
```

Excess energy over the best structure of this formula in the dataset ... 0.64 eV per formula unit
Size of the total moment ... 2.02 μB per formula unit
Formation energy from raw total energies ... 0.07 eV/atom


The following is a DFT calculation (GGA-PBE) of a relaxed structure of AgRh2S.

Structure (POSCAR):
```
AgRh2S
1.0
-2.830 -0.198 1.716
-2.566 -1.708 -1.224
0.484 -6.297 3.275
Ag Rh S
1 2 1
direct
0.499 0.499 0.503
0.063 0.063 0.812
0.271 0.271 0.186
0.667 0.667 0.998
```

Size of the total moment ... 0.00 μB per formula unit
Formation energy from raw total energies ... 0.07 eV/atom